1.
Entry from Alexandria: crystalline MgNiSb2 at its relaxed geometry (PBE).

Summary:
**Raw formation energy**: -7 kJ/mol of atoms

a b c (Å): 6.9960 6.9960 6.9960
angles (deg): 153.50 145.49 44.03
Positions (direct):
Mg 0.0000 0.0000 0.0000
Ni 0.7894 0.2894 0.5000
Sb 0.3368 0.8368 0.5000
Sb 0.6263 0.6263 0.0000

***

2.
Entry from Alexandria: crystalline Li3Dy2AlS6 at its relaxed geometry (PBE).

Summary:
**Raw formation energy**: -154 kJ/mol of atoms

a b c (Å): 6.5878 6.5878 6.5016
angles (deg): 99.47 99.47 120.13
Positions (direct):
Li 0.0000 0.0000 0.0000
Li 0.3468 0.6532 0.0000
Li 0.6532 0.3468 0.0000
Dy 0.1680 0.8320 0.5000
Dy 0.8320 0.1680 0.5000
Al 0.5000 0.5000 0.5000
S 0.1148 0.4202 0.2577
S 0.2711 0.2711 0.7360
S 0.4202 0.1148 0.2577
S 0.5798 0.8852 0.7423
S 0.7289 0.7289 0.2640
S 0.8852 0.5798 0.7423

***

3.
Entry from Alexandria: crystalline InNi2Rh at its relaxed geometry (PBE).

Summary:
**Formation energy**: -0.3 eV per formula unit

a b c (Å): 4.5949 4.5949 4.5949
angles (deg): 129.60 129.60 74.04
Positions (direct):
In 0.0000 0.0000 0.0000
Ni 0.2500 0.7500 0.5000
Ni 0.7500 0.2500 0.5000
Rh 0.5000 0.5000 0.0000

***

4.
Entry from Alexandria: crystalline LaNp3S6 at its relaxed geometry (PBE).

Summary:
**Raw formation energy**: -147 kJ/mol of atoms

a b c (Å): 10.4467 4.1233 12.3408
angles (deg): 90.00 105.12 90.00
Positions (direct):
La 0.2271 0.2500 0.3461
La 0.7729 0.7500 0.6539
Np 0.1403 0.7500 0.6100
Np 0.1868 0.7500 0.0359
Np 0.4362 0.2500 0.8443
Np 0.5638 0.7500 0.1557
Np 0.8132 0.2500 0.9641
Np 0.8597 0.2500 0.3900
S 0.0392 0.7500 0.3798
S 0.0641 0.2500 0.1153
S 0.2552 0.7500 0.8289
S 0.3041 0.2500 0.5953
S 0.3551 0.7500 0.2622
S 0.3881 0.2500 0.0534
S 0.6119 0.7500 0.9466
S 0.6449 0.2500 0.7378
S 0.6959 0.7500 0.4047
S 0.7448 0.2500 0.1711
S 0.9359 0.7500 0.8847
S 0.9608 0.2500 0.6202

***

5.
Entry from Alexandria: crystalline GaSn2HgRu at its relaxed geometry (PBE).

Summary:
**Formation energy**: -0.1 eV per formula unit

a b c (Å): 5.1533 5.1533 4.8528
angles (deg): 90.00 90.00 90.00
Positions (direct):
Ga 0.0000 0.0000 0.0000
Sn 0.0000 0.5000 0.5000
Sn 0.5000 0.0000 0.5000
Hg 0.5000 0.5000 0.0000
Ru 0.0000 0.0000 0.5000

***

6.
Entry from Alexandria: crystalline NaCa3ScZn3Si8O24 at its relaxed geometry (PBE).

Summary:
**Raw formation energy**: -259 kJ/mol of atoms

a b c (Å): 5.3464 9.0974 9.8918
angles (deg): 90.00 104.78 90.00
Positions (direct):
Na 0.0000 0.0000 0.0000
Ca 0.0000 0.8995 0.5000
Ca 0.5000 0.3942 0.0000
Ca 0.5000 0.4892 0.5000
Sc 0.5000 0.7989 0.0000
Zn 0.0000 0.2892 0.5000
Zn 0.0000 0.5960 0.0000
Zn 0.5000 0.0993 0.5000
Si 0.1955 0.2869 0.2128
Si 0.1992 0.6033 0.7119
Si 0.3007 0.7867 0.2873
Si 0.3023 0.1061 0.7862
Si 0.6977 0.1061 0.2138
Si 0.6993 0.7867 0.7127
Si 0.8008 0.6033 0.2881
Si 0.8045 0.2869 0.7872
O 0.0933 0.6800 0.3494
O 0.0985 0.2127 0.8479
O 0.2091 0.4433 0.1382
O 0.2126 0.4471 0.6391
O 0.2215 0.1051 0.6161
O 0.2249 0.7790 0.1178
O 0.2773 0.2846 0.3831
O 0.2839 0.6098 0.8824
O 0.2869 0.9421 0.3617
O 0.3007 0.9480 0.8601
O 0.4053 0.7099 0.6488
O 0.4084 0.1851 0.1521
O 0.5916 0.1851 0.8479
O 0.5947 0.7099 0.3512
O 0.6993 0.9480 0.1399
O 0.7131 0.9421 0.6383
O 0.7161 0.6098 0.1176
O 0.7227 0.2846 0.6169
O 0.7751 0.7790 0.8822
O 0.7785 0.1051 0.3839
O 0.7874 0.4471 0.3609
O 0.7909 0.4433 0.8618
O 0.9015 0.2127 0.1521
O 0.9067 0.6800 0.6506

***

7.
Entry from Alexandria: crystalline WSeSCl2 at its relaxed geometry (PBE).

Summary:
**Raw formation energy**: 28 kJ/mol of atoms

a b c (Å): 4.7498 4.7498 4.7081
angles (deg): 90.00 90.00 90.00
Positions (direct):
W 0.0000 0.0000 0.0000
Se 0.5000 0.5000 0.5000
S 0.0000 0.0000 0.5000
Cl 0.0000 0.5000 0.0000
Cl 0.5000 0.0000 0.0000

***

8.
Entry from Alexandria: crystalline GeAs at its relaxed geometry (PBE).

Summary:
**Formation energy**: 0.2 eV per formula unit

a b c (Å): 3.8707 3.8707 7.9405
angles (deg): 90.00 90.00 120.00
Positions (direct):
Ge 0.3333 0.6667 0.0000
Ge 0.6667 0.3333 0.5000
As 0.3333 0.6667 0.3522
As 0.6667 0.3333 0.8522

***

9.
Entry from Alexandria: crystalline Y2ErTl4 at its relaxed geometry (PBE).

Summary:
**Formation energy**: -1.7 eV per formula unit

a b c (Å): 6.4723 6.4723 6.4723
angles (deg): 109.96 109.96 108.49
Positions (direct):
Y 0.0000 0.5000 0.5000
Y 0.5000 0.0000 0.5000
Er 0.0000 0.0000 0.0000
Tl 0.0000 0.0000 0.5000
Tl 0.0000 0.5000 0.0000
Tl 0.5000 0.0000 0.0000
Tl 0.5000 0.5000 0.5000

***

10.
Entry from Alexandria: crystalline CaP at its relaxed geometry (PBE).

Summary:
**Formation energy**: -1.6 eV per formula unit

a b c (Å): 5.7638 5.7638 3.9107
angles (deg): 90.00 90.00 137.13
Positions (direct):
Ca 0.1345 0.8655 0.7500
Ca 0.8655 0.1345 0.2500
P 0.4110 0.5890 0.7500
P 0.5890 0.4110 0.2500

***

11.
Entry from Alexandria: crystalline La6Sm2YMg at its relaxed geometry (PBE).

Summary:
**Formation energy**: 0.9 eV per formula unit

a b c (Å): 8.7452 8.7452 9.4973
angles (deg): 95.29 95.29 104.32
Positions (direct):
La 0.0386 0.4644 0.6722
La 0.0673 0.8211 0.9005
La 0.1789 0.9327 0.5995
La 0.2457 0.5789 0.0845
La 0.4211 0.7543 0.4155
La 0.4644 0.0386 0.1722
La 0.5356 0.9614 0.8278
La 0.5789 0.2457 0.5845
La 0.7543 0.4211 0.9155
La 0.8211 0.0673 0.4005
La 0.9327 0.1789 0.0995
La 0.9614 0.5356 0.3278
Sm 0.2354 0.3010 0.4060
Sm 0.3010 0.2354 0.9060
Sm 0.6990 0.7646 0.0940
Sm 0.7646 0.6990 0.5940
Y 0.4281 0.5719 0.7500
Y 0.5719 0.4281 0.2500
Mg 0.0952 0.9048 0.2500
Mg 0.9048 0.0952 0.7500

***

12.
Entry from Alexandria: crystalline CuGeSe at its relaxed geometry (PBE).

Summary:
**Raw formation energy**: -6 kJ/mol of atoms

a b c (Å): 3.8846 4.0733 8.3443
angles (deg): 90.13 90.06 90.00
Positions (direct):
Cu 0.0000 0.0000 0.0000
Cu 0.4979 0.4982 0.6298
Ge 0.5000 0.3402 0.9230
Ge 0.9984 0.8400 0.7062
Se 0.5003 0.7782 0.1334
Se 0.9980 0.2767 0.4957

***

13.
Entry from Alexandria: crystalline Hg2OsSe at its relaxed geometry (PBE).

Summary:
**Raw formation energy**: 93 kJ/mol of atoms

a b c (Å): 5.4634 5.4634 5.4634
angles (deg): 136.28 136.28 63.55
Positions (direct):
Hg 0.2500 0.7500 0.5000
Hg 0.7500 0.2500 0.5000
Os 0.0000 0.0000 0.0000
Se 0.5000 0.5000 0.0000

***

14.
Entry from Alexandria: crystalline Cs3Ac2LaS6 at its relaxed geometry (PBE).

Summary:
**Raw formation energy**: -181 kJ/mol of atoms

a b c (Å): 7.6993 7.6993 8.5007
angles (deg): 98.68 98.68 120.00
Positions (direct):
Cs 0.0000 0.0000 0.0000
Cs 0.3332 0.6668 0.0000
Cs 0.6668 0.3332 0.0000
Ac 0.1666 0.8334 0.5000
Ac 0.8334 0.1666 0.5000
La 0.5000 0.5000 0.5000
S 0.1107 0.4367 0.3101
S 0.2373 0.2373 0.6899
S 0.4367 0.1107 0.3101
S 0.5633 0.8893 0.6899
S 0.7627 0.7627 0.3101
S 0.8893 0.5633 0.6899

***

15.
Entry from Alexandria: crystalline YTmB4 at its relaxed geometry (PBE).

Summary:
**Formation energy**: -2.8 eV per formula unit

a b c (Å): 6.2628 6.2628 6.2628
angles (deg): 147.17 147.17 47.12
Positions (direct):
Y 0.0000 0.0000 0.0000
Tm 0.7500 0.2500 0.5000
B 0.1720 0.6720 0.5000
B 0.3280 0.8280 0.5000
B 0.4203 0.4203 0.0000
B 0.5797 0.5797 0.0000

***

16.
Entry from Alexandria: crystalline Cs12K6Li at its relaxed geometry (PBE).

Summary:
**Formation energy**: 0.8 eV per formula unit

a b c (Å): 13.6422 13.6422 13.6422
angles (deg): 111.26 111.26 111.26
Positions (direct):
Cs 0.0853 0.1348 0.7388
Cs 0.1056 0.6141 0.4102
Cs 0.1348 0.7388 0.0853
Cs 0.2612 0.9147 0.8652
Cs 0.3859 0.5898 0.8944
Cs 0.4102 0.1056 0.6141
Cs 0.5898 0.8944 0.3859
Cs 0.6141 0.4102 0.1056
Cs 0.7388 0.0853 0.1348
Cs 0.8652 0.2612 0.9147
Cs 0.8944 0.3859 0.5898
Cs 0.9147 0.8652 0.2612
K 0.2091 0.3079 0.4386
K 0.3079 0.4386 0.2091
K 0.4386 0.2091 0.3079
K 0.5614 0.7909 0.6921
K 0.6921 0.5614 0.7909
K 0.7909 0.6921 0.5614
Li 0.0000 0.0000 0.0000

***

17.
Entry from Alexandria: crystalline KMnCdCo2 at its relaxed geometry (PBE).

Summary:
**Formation energy**: 6.1 eV per formula unit

a b c (Å): 4.6070 4.6070 5.5901
angles (deg): 90.00 90.00 90.00
Positions (direct):
K 0.0000 0.0000 0.0000
Mn 0.0000 0.0000 0.5000
Cd 0.5000 0.5000 0.0000
Co 0.0000 0.5000 0.5000
Co 0.5000 0.0000 0.5000

***

18.
Entry from Alexandria: crystalline TbGd3 at its relaxed geometry (PBE).

Summary:
**Formation energy**: 0.4 eV per formula unit

a b c (Å): 5.6872 5.6872 5.6872
angles (deg): 60.00 60.00 60.00
Positions (direct):
Tb 0.0000 0.0000 0.0000
Gd 0.2500 0.2500 0.2500
Gd 0.5000 0.5000 0.5000
Gd 0.7500 0.7500 0.7500

***

19.
Entry from Alexandria: crystalline Rb2Sr2BiO6 at its relaxed geometry (PBE).

Summary:
**Raw formation energy**: -161 kJ/mol of atoms

a b c (Å): 6.3083 6.3083 7.0018
angles (deg): 98.77 98.77 119.24
Positions (direct):
Rb 0.1661 0.8339 0.0000
Rb 0.8339 0.1661 0.0000
Sr 0.3388 0.6612 0.5000
Sr 0.6612 0.3388 0.5000
Bi 0.0000 0.0000 0.5000
O 0.0482 0.3458 0.6742
O 0.2240 0.2240 0.3225
O 0.3458 0.0482 0.6742
O 0.6542 0.9518 0.3258
O 0.7760 0.7760 0.6775
O 0.9518 0.6542 0.3258

***

20.
Entry from Alexandria: crystalline LaCl at its relaxed geometry (PBE).

Summary:
**Raw formation energy**: -101 kJ/mol of atoms

a b c (Å): 7.7972 7.7972 7.7972
angles (deg): 109.47 109.47 109.47
Positions (direct):
La 0.0000 0.0000 0.2904
La 0.0000 0.2904 0.0000
La 0.2904 0.0000 0.0000
La 0.7096 0.7096 0.7096
Cl 0.0000 0.0000 0.6660
Cl 0.0000 0.6660 0.0000
Cl 0.3340 0.3340 0.3340
Cl 0.6660 0.0000 0.0000

***

21.
Entry from Alexandria: crystalline Dy3Y4Se8 at its relaxed geometry (PBE).

Summary:
**Raw formation energy**: -178 kJ/mol of atoms

a b c (Å): 8.1321 8.1321 8.1322
angles (deg): 120.00 120.00 90.00
Positions (direct):
Dy 0.0000 0.0000 0.0000
Dy 0.0000 0.5000 0.0000
Dy 0.5000 0.0000 0.0000
Y 0.0000 0.0000 0.5000
Y 0.0000 0.5000 0.5000
Y 0.5000 0.0000 0.5000
Y 0.5000 0.5000 0.0000
Se 0.2497 0.7503 0.0000
Se 0.2533 0.2533 0.0073
Se 0.2533 0.2533 0.4993
Se 0.2536 0.7464 0.5000
Se 0.7464 0.2536 0.5000
Se 0.7467 0.7467 0.5007
Se 0.7467 0.7467 0.9927
Se 0.7503 0.2497 0.0000

***

22.
Entry from Alexandria: crystalline LiCaTe2 at its relaxed geometry (PBE).

Summary:
**Raw formation energy**: -98 kJ/mol of atoms

a b c (Å): 4.9911 6.3243 3.6759
angles (deg): 90.00 90.00 90.00
Positions (direct):
Li 0.0000 0.0000 0.0000
Ca 0.5000 0.5000 0.5015
Te 0.0000 0.5000 0.0010
Te 0.5000 0.0000 0.4994